# 1
Compound: TbThSnTe
Source: Alexandria via LeMat-Bulk
Functional: PBE
Structure: relaxed

Cell: 4.4915 4.4915 21.5636 Å, 90.00 90.00 120.00°
Space group R3m (No. 160, hexagonal axes)
Inequivalent atoms, fractional coordinates:
1 Tb 0.0000 0.0000 0.0000 (multiplicity 3)
2 Th 0.0000 0.0000 0.4926 (multiplicity 3)
3 Sn 0.0000 0.0000 0.7438 (multiplicity 3)
4 Te 0.0000 0.0000 0.2492 (multiplicity 3)

Summary:
ΔE_f (raw): -0.9280 eV/atom
final energy: -5.73 eV per atom

---

# 2
Compound: TbTl3Sn2Te6
Source: Alexandria via LeMat-Bulk
Functional: PBE
Structure: relaxed

Cell: 7.8051 13.4969 8.2963 Å, 90.00 108.19 90.00°
Space group C2/m (No. 12)
Inequivalent atoms, fractional coordinates:
1 Tb 0.0000 0.0000 0.0000 (multiplicity 2)
2 Tl 0.0000 0.1665 0.5000 (multiplicity 4)
3 Tl 0.0000 0.5000 0.5000 (multiplicity 2)
4 Sn 0.0000 0.3338 0.0000 (multiplicity 4)
5 Te 0.2382 0.1660 0.2179 (multiplicity 8)
6 Te 0.2408 0.5000 0.2176 (multiplicity 4)

Summary:
ΔE_f (raw): -0.5033 eV/atom
final energy: -3.72 eV per atom

---

# 3
Compound: Tb2Tl3SnTe6
Source: Alexandria via LeMat-Bulk
Functional: PBE
Structure: relaxed

Cell: 7.8098 13.5318 8.3648 Å, 90.00 107.97 90.00°
Space group C2/m (No. 12)
Inequivalent atoms, fractional coordinates:
1 Tb 0.0000 0.1666 0.0000 (multiplicity 4)
2 Tl 0.0000 0.0000 0.5000 (multiplicity 2)
3 Tl 0.0000 0.3324 0.5000 (multiplicity 4)
4 Sn 0.0000 0.5000 0.0000 (multiplicity 2)
5 Te 0.2349 0.0000 0.2162 (multiplicity 4)
6 Te 0.2402 0.3314 0.2161 (multiplicity 8)

Summary:
ΔE_f (raw): -0.7793 eV/atom
final energy: -4.05 eV per atom

---

# 4
Compound: Tb3Tl4SnTe8
Source: Alexandria via LeMat-Bulk
Functional: PBE
Structure: relaxed

Cell: 8.9897 8.9897 24.0729 Å, 90.00 90.00 120.00°
Space group R-3m (No. 166, hexagonal axes)
Inequivalent atoms, fractional coordinates:
1 Tb 0.0000 0.5000 0.0000 (multiplicity 9)
2 Tl 0.0000 0.0000 0.5000 (multiplicity 3)
3 Tl 0.0000 0.5000 0.5000 (multiplicity 9)
4 Sn 0.0000 0.0000 0.0000 (multiplicity 3)
5 Te 0.0000 0.0000 0.2612 (multiplicity 6)
6 Te 0.0029 0.5015 0.2618 (multiplicity 18)

Summary:
ΔE_f (raw): -0.8507 eV/atom
final energy: -4.13 eV per atom